The following is a PBE-GGA calculation of an optimized crystal structure of SrCdNi, from Alexandria via LeMat-Bulk.

Results
Symmetry: P-6m2
Crystal system: hexagonal
DFT total energy: -8.7 eV/cell
Energy of formation: -96 meV/atom

Cell lengths 4.516, 4.516, 4.366 Å; angles 90.00, 90.00, 120.00 degrees
Positions (direct):
Cd (0.000, 0.000, 0.167)
Ni (0.667, 0.333, 0.167)
Sr (0.333, 0.667, 0.667)